# 1
Ac3SiCl3: relaxed, PBE.

The structure in POSCAR format:
```
Ac3SiCl3
1.0
6.1828 0.0000 0.0000
0.0000 6.1828 0.0000
0.0000 0.0000 6.1828
Ac Si Cl
3 1 3
Direct
0.0000 0.0000 0.5000 Ac
0.0000 0.5000 0.0000 Ac
0.5000 0.0000 0.0000 Ac
0.0000 0.0000 0.0000 Si
0.0000 0.5000 0.5000 Cl
0.5000 0.0000 0.5000 Cl
0.5000 0.5000 0.0000 Cl
```

Calculated values
crystal system	cubic
polymorph energy (0 for the lowest one)	45	meV/atom
raw formation energy	-1555.5	meV/atom
SG	Pm-3m, No. 221

***

# 2
CeDyTc2: relaxed, PBE.

The structure in POSCAR format:
```
CeDyTc2
1.0
3.4132 0.0000 0.0000
0.0000 3.4132 0.0000
0.0000 0.0000 6.9147
Ce Dy Tc
1 1 2
Direct
0.0000 0.0000 0.0000 Ce
0.0000 0.0000 0.5000 Dy
0.5000 0.5000 0.2258 Tc
0.5000 0.5000 0.7742 Tc
```

Calculated values
crystal system	tetragonal
polymorph energy (0 for the lowest one)	0	meV/atom
SG	P4/mmm, No. 123

***

# 3
Co2RuN: relaxed, PBE.

The structure in POSCAR format:
```
Co2RuN
1.0
6.0340 0.0000 0.0000
0.0000 6.0340 0.0000
0.0000 0.0000 4.6481
Co Ru N
8 4 4
Direct
0.1486 0.2500 0.1250 Co
0.2500 0.6486 0.3750 Co
0.2500 0.8514 0.8750 Co
0.3514 0.2500 0.6250 Co
0.6486 0.7500 0.6250 Co
0.7500 0.1486 0.8750 Co
0.7500 0.3514 0.3750 Co
0.8514 0.7500 0.1250 Co
0.0000 0.0000 0.5000 Ru
0.0000 0.5000 0.7500 Ru
0.5000 0.0000 0.2500 Ru
0.5000 0.5000 0.0000 Ru
0.0000 0.0000 0.0000 N
0.0000 0.5000 0.2500 N
0.5000 0.0000 0.7500 N
0.5000 0.5000 0.5000 N
```

Calculated values
crystal system	tetragonal
raw formation energy	385.8	meV/atom
SG	I-42d, No. 122

***

# 4
ReSbBr2: relaxed, PBE.

The structure in POSCAR format:
```
ReSbBr2
1.0
3.5299 0.0000 0.0000
-1.7649 3.0569 0.0000
0.0000 0.0000 27.4636
Re Sb Br
3 3 6
Direct
0.0000 0.0000 0.0000 Re
0.3333 0.6667 0.6667 Re
0.6667 0.3333 0.3333 Re
0.0000 0.0000 0.2697 Sb
0.3333 0.6667 0.9364 Sb
0.6667 0.3333 0.6031 Sb
0.0000 0.0000 0.5234 Br
0.0000 0.0000 0.7328 Br
0.3333 0.6667 0.1901 Br
0.3333 0.6667 0.3995 Br
0.6667 0.3333 0.0662 Br
0.6667 0.3333 0.8567 Br
```

Calculated values
crystal system	trigonal
polymorph energy (0 for the lowest one)	139	meV/atom
raw formation energy	378.1	meV/atom
SG	R3m, No. 160

***

# 5
CsAs2Ru: relaxed, PBE.

The structure in POSCAR format:
```
CsAs2Ru
1.0
4.1646 0.0000 0.0000
-2.0823 3.6066 0.0000
0.0000 0.0000 20.9860
Cs As Ru
3 6 3
Direct
0.0000 0.0000 0.0000 Cs
0.3333 0.6667 0.6667 Cs
0.6667 0.3333 0.3333 Cs
0.0000 0.0000 0.2053 As
0.0000 0.0000 0.7947 As
0.3333 0.6667 0.4614 As
0.3333 0.6667 0.8720 As
0.6667 0.3333 0.1280 As
0.6667 0.3333 0.5386 As
0.0000 0.0000 0.5000 Ru
0.3333 0.6667 0.1667 Ru
0.6667 0.3333 0.8333 Ru
```

Calculated values
crystal system	trigonal
polymorph energy (0 for the lowest one)	0	meV/atom
SG	R-3m, No. 166

***

# 6
TbMnI: relaxed, PBE.

The structure in POSCAR format:
```
TbMnI
1.0
6.7531 0.0000 0.0000
0.0000 3.8990 0.0000
-2.2847 0.0000 12.7489
Tb Mn I
4 4 4
Direct
0.0550 0.0000 0.1624 Tb
0.4450 0.5000 0.8376 Tb
0.5550 0.5000 0.1624 Tb
0.9450 0.0000 0.8376 Tb
0.1650 0.5000 0.9950 Mn
0.3350 0.0000 0.0050 Mn
0.6650 0.0000 0.9950 Mn
0.8350 0.5000 0.0050 Mn
0.2203 0.0000 0.6660 I
0.2797 0.5000 0.3340 I
0.7203 0.5000 0.6660 I
0.7797 0.0000 0.3340 I
```

Calculated values
crystal system	monoclinic
raw formation energy	-643.2	meV/atom
SG	C2/m, No. 12

***

# 7
CdAg7Sn2Sb2: relaxed, PBE.

The structure in POSCAR format:
```
CdAg7Sn2Sb2
1.0
2.8683 -2.8622 0.0000
2.8683 2.8622 0.0000
-2.5980 0.0000 15.9456
Cd Ag Sn Sb
1 7 2 2
Direct
0.0000 0.0000 0.0000 Cd
0.0644 0.5641 0.1387 Ag
0.2709 0.2709 0.5388 Ag
0.4359 0.9356 0.8613 Ag
0.5000 0.5000 0.0000 Ag
0.5641 0.0644 0.1387 Ag
0.7291 0.7291 0.4612 Ag
0.9356 0.4359 0.8613 Ag
0.3655 0.3655 0.7215 Sn
0.6345 0.6345 0.2785 Sn
0.1796 0.1796 0.3643 Sb
0.8204 0.8204 0.6357 Sb
```

Calculated values
crystal system	monoclinic
raw formation energy	78.2	meV/atom
SG	C2/m, No. 12

***

# 8
MgTl5: relaxed, PBE.

The structure in POSCAR format:
```
MgTl5
1.0
11.9156 0.0000 0.0000
0.0000 3.6444 0.0000
-2.6311 0.0000 8.0305
Mg Tl
2 10
Direct
0.0000 0.0000 0.0000 Mg
0.5000 0.5000 0.0000 Mg
0.0357 0.0000 0.5710 Tl
0.1865 0.5000 0.3345 Tl
0.1935 0.5000 0.9170 Tl
0.3375 0.0000 0.6961 Tl
0.3874 0.0000 0.2234 Tl
0.5357 0.5000 0.5710 Tl
0.6865 0.0000 0.3345 Tl
0.6935 0.0000 0.9170 Tl
0.8375 0.5000 0.6961 Tl
0.8874 0.5000 0.2234 Tl
```

Calculated values
crystal system	monoclinic
SG	Cm, No. 8
VASP energy	-26.73	eV/cell

***

# 9
RbAl2Ga: relaxed, PBE.

The structure in POSCAR format:
```
RbAl2Ga
1.0
5.4594 0.0000 0.0000
0.0000 5.4594 0.0000
0.0000 0.0000 17.7154
Rb Al Ga
4 8 4
Direct
0.0000 0.2500 0.3750 Rb
0.0000 0.7500 0.6250 Rb
0.5000 0.2500 0.1250 Rb
0.5000 0.7500 0.8750 Rb
0.0000 0.0000 0.0000 Al
0.0000 0.5000 0.0000 Al
0.2500 0.2500 0.7500 Al
0.2500 0.7500 0.2500 Al
0.5000 0.0000 0.5000 Al
0.5000 0.5000 0.5000 Al
0.7500 0.2500 0.7500 Al
0.7500 0.7500 0.2500 Al
0.0000 0.2500 0.8750 Ga
0.0000 0.7500 0.1250 Ga
0.5000 0.2500 0.6250 Ga
0.5000 0.7500 0.3750 Ga
```

Calculated values
crystal system	tetragonal
SG	I4_1/amd, No. 141
VASP energy	-41.80	eV/cell

***

# 10
KRbSbTe2: relaxed, PBE.

The structure in POSCAR format:
```
KRbSbTe2
1.0
6.4955 0.0000 0.0000
0.0000 6.4955 0.0000
0.0000 0.0000 6.2500
K Rb Sb Te
1 1 1 2
Direct
0.0000 0.0000 0.0000 K
0.5000 0.5000 0.5000 Rb
0.5000 0.5000 0.0000 Sb
0.0000 0.5000 0.5000 Te
0.5000 0.0000 0.5000 Te
```

Calculated values
crystal system	tetragonal
polymorph energy (0 for the lowest one)	934	meV/atom
raw formation energy	413.1	meV/atom
SG	P4/mmm, No. 123

***

# 11
Ga3TcSn: relaxed, PBE.

The structure in POSCAR format:
```
Ga3TcSn
1.0
4.8634 0.0000 0.0000
0.0000 4.8634 0.0000
0.0000 0.0000 4.8634
Ga Tc Sn
3 1 1
Direct
0.0000 0.0000 0.5000 Ga
0.0000 0.5000 0.0000 Ga
0.5000 0.0000 0.0000 Ga
0.0000 0.0000 0.0000 Tc
0.5000 0.5000 0.5000 Sn
```

Calculated values
crystal system	cubic
polymorph energy (0 for the lowest one)	0	meV/atom
SG	Pm-3m, No. 221

***

# 12
Sn3SeS2: relaxed, PBE.

The structure in POSCAR format:
```
Sn3SeS2
1.0
4.1764 0.0000 0.0000
0.0000 5.9186 0.0000
0.0000 0.0000 12.5572
Sn Se S
6 2 4
Direct
0.0000 0.0000 0.0000 Sn
0.0000 0.0000 0.3268 Sn
0.0000 0.0000 0.6732 Sn
0.5000 0.5000 0.1732 Sn
0.5000 0.5000 0.5000 Sn
0.5000 0.5000 0.8268 Sn
0.0000 0.5000 0.0000 Se
0.5000 0.0000 0.5000 Se
0.0000 0.5000 0.3348 S
0.0000 0.5000 0.6652 S
0.5000 0.0000 0.1652 S
0.5000 0.0000 0.8348 S
```

Calculated values
crystal system	orthorhombic
raw formation energy	-406.9	meV/atom
SG	Immm, No. 71

***

Q: What is the formula in the eighth record?
A: MgTl5